A PBEsol-optimized structure of ZrS2IN, computed with SCAN.

## Properties
* formation energy from raw total energies: 89.6 kJ per mole of atoms
* M_tot: 1.707 μB/f.u.

a b c (Å): 5.055 5.055 3.871
angles (deg): 90.00 90.00 90.00
Atoms (fractional coordinates):
Zr 0.000 0.000 0.000
S 0.000 0.500 0.500
S 0.500 0.000 0.500
I 0.500 0.500 0.500
N 0.500 0.500 0.000

=====

A PBEsol-optimized structure of ScSbI2N, computed with SCAN.

## Properties
* formation energy from raw total energies: 51.2 kJ per mole of atoms
* M_tot: 1.249 μB/f.u.

a b c (Å): 5.599 5.599 5.655
angles (deg): 90.00 90.00 90.00
Atoms (fractional coordinates):
Sc 0.000 0.000 0.000
Sb 0.000 0.000 0.500
I 0.000 0.500 0.000
I 0.500 0.000 0.000
N 0.500 0.500 0.500

=====

A PBEsol-optimized structure of SbSe2IN, computed with SCAN.

## Properties
* formation energy from raw total energies: 113.6 kJ per mole of atoms
* M_tot: 0.000 μB/f.u.

a b c (Å): 5.457 5.457 3.905
angles (deg): 90.00 90.00 90.00
Atoms (fractional coordinates):
Sb 0.000 0.000 0.000
Se 0.000 0.500 0.500
Se 0.500 0.000 0.500
I 0.500 0.500 0.500
N 0.500 0.500 0.000